1.
This record from Alexandria via LeMat-Bulk describes a geometry-optimized Er2TmAg structure. The functional is PBE-GGA.

VASP energy ... -4.245 eV per atom
Energy relative to the elements ... -0.133 eV/atom
Energy above the most stable polymorph in this dataset ... 0.000 eV per atom
Mass density ... 9.36 g cm⁻³

Cell lengths 3.5177, 3.5177, 8.7666 Å; angles 90.00, 90.00, 90.00 degrees
Space group P4/mmm (No. 123)
Unique sites:
1 Er 0.0000 0.0000 0.2173 x2
2 Tm 0.5000 0.5000 0.5000 x1
3 Ag 0.5000 0.5000 0.0000 x1

---

2.
This record from Alexandria via LeMat-Bulk describes a geometry-optimized ErTm2Ag structure. The functional is PBE-GGA.

VASP energy ... -4.076 eV per atom
Energy relative to the elements ... 0.013 eV/atom
Energy above the most stable polymorph in this dataset ... 0.150 eV per atom
Mass density ... 9.67 g cm⁻³

Cell lengths 4.7177, 4.7177, 4.7296 Å; angles 90.00, 90.00, 90.00 degrees
Space group P4/mmm (No. 123)
Unique sites:
1 Er 0.0000 0.0000 0.0000 x1
2 Tm 0.0000 0.5000 0.5000 x2
3 Ag 0.5000 0.5000 0.0000 x1

---

3.
This record from Alexandria via LeMat-Bulk describes a geometry-optimized Er3Tm2Ag3 structure. The functional is PBE-GGA.

VASP energy ... -4.131 eV per atom
Energy relative to the elements ... -0.232 eV/atom
Mass density ... 9.62 g cm⁻³

Cell lengths 3.6134, 5.2062, 21.3432 Å; angles 90.00, 90.00, 90.00 degrees
Space group Immm (No. 71)
Unique sites:
1 Er 0.0000 0.0000 0.0000 x2
2 Er 0.0000 0.5000 0.1209 x4
3 Tm 0.0000 0.0000 0.2314 x4
4 Ag 0.0000 0.0000 0.5000 x2
5 Ag 0.0000 0.5000 0.3826 x4

---

4.
This record from Alexandria via LeMat-Bulk describes a geometry-optimized Er2TmAg structure. The functional is PBE-GGA.

VASP energy ... -4.128 eV per atom
Energy relative to the elements ... -0.016 eV/atom
Energy above the most stable polymorph in this dataset ... 0.118 eV per atom
Mass density ... 9.12 g cm⁻³

Cell lengths 3.5458, 3.5458, 30.6702 Å; angles 90.00, 90.00, 120.00 degrees
Space group R3m (No. 160, hexagonal axes)
Unique sites:
1 Er 0.0000 0.0000 0.0000 x3
2 Er 0.0000 0.0000 0.1824 x3
3 Tm 0.0000 0.0000 0.7578 x3
4 Ag 0.0000 0.0000 0.5912 x3

---

5.
This record from Alexandria via LeMat-Bulk describes a geometry-optimized ErTm2Ag3 structure. The functional is PBE-GGA.

VASP energy ... -4.017 eV per atom
Energy relative to the elements ... -0.341 eV/atom
Mass density ... 9.90 g cm⁻³

Cell lengths 3.5737, 3.5737, 10.8843 Å; angles 90.00, 90.00, 90.00 degrees
Space group P4/mmm (No. 123)
Unique sites:
1 Er 0.0000 0.0000 0.0000 x1
2 Tm 0.0000 0.0000 0.3340 x2
3 Ag 0.5000 0.5000 0.1684 x2
4 Ag 0.5000 0.5000 0.5000 x1

---

6.
This record from Alexandria via LeMat-Bulk describes a geometry-optimized Er4Tm3Ag structure. The functional is PBE-GGA.

VASP energy ... -4.368 eV per atom
Energy relative to the elements ... -0.053 eV/atom
Mass density ... 9.29 g cm⁻³

Cell lengths 3.4979, 3.4979, 18.7461 Å; angles 90.00, 90.00, 90.00 degrees
Space group P4/mmm (No. 123)
Unique sites:
1 Er 0.0000 0.0000 0.1021 x2
2 Er 0.0000 0.0000 0.3675 x2
3 Tm 0.5000 0.5000 0.2363 x2
4 Tm 0.5000 0.5000 0.5000 x1
5 Ag 0.5000 0.5000 0.0000 x1

---

7.
This record from Alexandria via LeMat-Bulk describes a geometry-optimized Er4TmAg structure. The functional is PBE-GGA.

VASP energy ... -4.218 eV per atom
Energy relative to the elements ... 0.045 eV/atom
Energy above the most stable polymorph in this dataset ... 0.124 eV per atom
Mass density ... 8.96 g cm⁻³

Cell lengths 5.3523, 20.6549, 6.3425 Å; angles 90.00, 90.00, 90.00 degrees
Space group Cmc2_1 (No. 36)
Unique sites:
1 Er 0.0000 0.0351 0.0000 x4
2 Er 0.0000 0.1765 0.8062 x4
3 Er 0.0000 0.2430 0.2939 x4
4 Er 0.0000 0.4342 0.1673 x4
5 Tm 0.0000 0.3645 0.6641 x4
6 Ag 0.0000 0.1029 0.4092 x4

---

8.
This record from Alexandria via LeMat-Bulk describes a geometry-optimized Er2TmAg structure. The functional is PBE-GGA.

VASP energy ... -4.059 eV per atom
Energy relative to the elements ... 0.053 eV/atom
Energy above the most stable polymorph in this dataset ... 0.186 eV per atom
Mass density ... 9.57 g cm⁻³

Cell lengths 7.5148, 7.5148, 7.5148 Å; angles 90.00, 90.00, 90.00 degrees
Space group Fm-3m (No. 225)
Unique sites:
1 Er 0.2500 0.2500 0.2500 x8
2 Tm 0.0000 0.0000 0.0000 x4
3 Ag 0.0000 0.0000 0.5000 x4

---

9.
This record from Alexandria via LeMat-Bulk describes a geometry-optimized ErTm3Ag4 structure. The functional is PBE-GGA.

VASP energy ... -4.010 eV per atom
Energy relative to the elements ... -0.338 eV/atom
Mass density ... 9.90 g cm⁻³

Cell lengths 3.5523, 5.1089, 10.2128 Å; angles 90.00, 90.00, 90.00 degrees
Space group Pmmm (No. 47)
Unique sites:
1 Er 0.0000 0.0000 0.0000 x1
2 Tm 0.0000 0.0000 0.5000 x1
3 Tm 0.0000 0.5000 0.2503 x2
4 Ag 0.5000 0.0000 0.2512 x2
5 Ag 0.5000 0.5000 0.0000 x1
6 Ag 0.5000 0.5000 0.5000 x1

---

10.
This record from Alexandria via LeMat-Bulk describes a geometry-optimized Er2TmAg structure. The functional is PBE-GGA.

VASP energy ... -4.184 eV per atom
Energy relative to the elements ... -0.072 eV/atom
Energy above the most stable polymorph in this dataset ... 0.061 eV per atom
Mass density ... 9.10 g cm⁻³

Cell lengths 4.7286, 11.2847, 8.3650 Å; angles 90.00, 90.00, 90.00 degrees
Space group Cmcm (No. 63)
Unique sites:
1 Er 0.0000 0.1429 0.0469 x8
2 Tm 0.0000 0.4474 0.2500 x4
3 Ag 0.0000 0.2750 0.7500 x4

---

11.
This record from Alexandria via LeMat-Bulk describes a geometry-optimized Er2TmAg2 structure. The functional is PBE-GGA.

VASP energy ... -4.023 eV per atom
Energy relative to the elements ... -0.164 eV/atom
Energy above the most stable polymorph in this dataset ... 0.086 eV per atom
Mass density ... 9.51 g cm⁻³

Cell lengths 6.3053, 4.9702, 8.0508 Å; angles 90.00, 95.64, 90.00 degrees
Space group P2_1/m (No. 11)
Unique sites:
1 Er 0.0957 0.2500 0.3577 x2
2 Er 0.1603 0.7500 0.0546 x2
3 Tm 0.3151 0.2500 0.7539 x2
4 Ag 0.3662 0.7500 0.5205 x2
5 Ag 0.4301 0.2500 0.1145 x2

---

12.
This record from Alexandria via LeMat-Bulk describes a geometry-optimized ErTm2Ag structure. The functional is PBE-GGA.

VASP energy ... -4.105 eV per atom
Energy relative to the elements ... -0.016 eV/atom
Energy above the most stable polymorph in this dataset ... 0.121 eV per atom
Mass density ... 9.16 g cm⁻³

Cell lengths 3.5517, 3.5517, 30.5205 Å; angles 90.00, 90.00, 120.00 degrees
Space group R3m (No. 160, hexagonal axes)
Unique sites:
1 Er 0.0000 0.0000 0.0000 x3
2 Tm 0.0000 0.0000 0.2417 x3
3 Tm 0.0000 0.0000 0.4254 x3
4 Ag 0.0000 0.0000 0.8338 x3

---

Q: Which value of mass density does entry 12 give?
A: 9.16 g cm⁻³